A plane-wave DFT calculation with GGA-PBE was carried out for a relaxed structure of LiTbPmTe3.

a = 8.9964 Å, b = 4.2712 Å, c = 9.5189 Å
α = 90.00°, β = 103.64°, γ = 90.00°
Last column: nearest neighbours and their distance in Å.
Fractional coordinates of all 12 atoms:
1 Li 0.0849 0.2500 0.0857  4 Te 2.74-2.77, 2 Li 2.89
2 Li 0.9151 0.7500 0.9143  4 Te 2.74-2.77, 2 Li 2.89
3 Tb 0.3327 0.7500 0.3404  6 Te 3.06-3.16
4 Tb 0.6673 0.2500 0.6596  6 Te 3.06-3.16
5 Pm 0.1886 0.2500 0.7321  7 Te 3.17-3.30
6 Pm 0.8114 0.7500 0.2679  7 Te 3.17-3.30
7 Te 0.0906 0.2500 0.3757  1 Li 2.75
8 Te 0.2320 0.7500 0.9995  3 Li 2.74-2.77
9 Te 0.4295 0.7500 0.6771  3 Tb 3.06-3.12, 2 Pm 3.17
10 Te 0.5705 0.2500 0.3229  3 Tb 3.06-3.12, 2 Pm 3.17
11 Te 0.7680 0.2500 0.0005  3 Li 2.74-2.77
12 Te 0.9094 0.7500 0.6243  1 Li 2.75

Values from the calculation:
Total energy in eV per atom: -4.7340
Space group: P2_1/m
Density of states at the Fermi level in states/eV/atom: 0.47
Theoretical density in g/cm3: 6.5

=====

A plane-wave DFT calculation with GGA-PBE was carried out for a relaxed structure of ScBe6Pd6.

a = 6.2328 Å, b = 6.2328 Å, c = 6.2328 Å
α = 134.43°, β = 99.41°, γ = 97.84°
Last column: nearest neighbours and their distance in Å.
Fractional coordinates of all 13 atoms:
1 Sc 0.0000 0.0000 0.0000  8 Pd 2.68-2.80
2 Be 0.0000 0.0000 0.5000  4 Be 2.38-2.41, 6 Pd 2.43-2.47
3 Be 0.0000 0.5000 0.0000  4 Be 2.38-2.41, 6 Pd 2.43-2.47
4 Be 0.2439 0.5000 0.7439  4 Be 2.38, 6 Pd 2.43-2.52
5 Be 0.5000 0.0000 0.0000  4 Be 2.38-2.41, 6 Pd 2.43-2.47
6 Be 0.5000 0.5000 0.5000  4 Be 2.38-2.41, 6 Pd 2.43-2.47
7 Be 0.7561 0.5000 0.2561  4 Be 2.38, 6 Pd 2.43-2.52
8 Pd 0.1742 0.6742 0.5000  6 Be 2.43
9 Pd 0.3330 0.0000 0.3330  6 Be 2.47-2.52, 1 Sc 2.68, 1 Pd 2.69
10 Pd 0.3370 0.3370 0.0000  6 Be 2.45-2.46, 1 Pd 2.67
11 Pd 0.6630 0.6630 0.0000  6 Be 2.45-2.46, 1 Pd 2.67
12 Pd 0.6670 0.0000 0.6670  6 Be 2.47-2.52, 1 Sc 2.68, 1 Pd 2.69
13 Pd 0.8258 0.3258 0.5000  6 Be 2.43

Values from the calculation:
Total energy in eV per atom: -5.1615
Space group: Immm
Density of states at the Fermi level in states/eV/atom: 0.36
E_form in meV/atom: -558
Theoretical density in g/cm3: 7.7

=====

A plane-wave DFT calculation with GGA-PBE was carried out for a relaxed structure of SmCoSi2Rh.

a = 5.7626 Å, b = 5.7626 Å, c = 5.7626 Å
α = 139.34°, β = 139.34°, γ = 58.86°
Last column: nearest neighbours and their distance in Å.
Fractional coordinates of all 5 atoms:
1 Sm 0.0000 0.0000 0.0000  8 Si 3.10, 4 Co 3.21, 4 Rh 3.21
2 Co 0.2500 0.7500 0.5000  4 Si 2.36
3 Si 0.3738 0.3738 0.0000  2 Co 2.36, 2 Rh 2.36, 1 Si 2.53
4 Si 0.6262 0.6262 0.0000  2 Co 2.36, 2 Rh 2.36, 1 Si 2.53
5 Rh 0.7500 0.2500 0.5000  4 Si 2.36

Values from the calculation:
Total energy in eV per atom: -6.9368
Space group: I-4m2
Density of states at the Fermi level in states/eV/atom: 0.52
Theoretical density in g/cm3: 7.6

=====

A plane-wave DFT calculation with GGA-PBE was carried out for a relaxed structure of Tl2AgOs.

a = 3.1183 Å, b = 4.7780 Å, c = 5.5629 Å
α = 90.00°, β = 90.00°, γ = 90.00°
Last column: nearest neighbours and their distance in Å.
Fractional coordinates of all 4 atoms:
1 Tl 0.0000 0.0000 0.0000  4 Os 2.85, 6 Tl 3.12-3.19
2 Tl 0.5000 0.0000 0.5000  4 Ag 2.85, 6 Tl 3.12-3.19
3 Ag 0.0000 0.5000 0.5000  4 Tl 2.85, 2 Ag 3.12, 4 Os 3.19
4 Os 0.5000 0.5000 0.0000  4 Tl 2.85, 2 Os 3.12, 4 Ag 3.19

Values from the calculation:
Total energy in eV per atom: -3.8362
Space group: Pmmm
Density of states at the Fermi level in states/eV/atom: 0.79
E_form in meV/atom: 867
ΔE to the lowest computed polymorph in meV/atom: 221
Theoretical density in g/cm3: 14.2

=====

Q: The lowest theoretical density belongs to which entry?
A: LiTbPmTe3